VASP calculation (PBE-GGA) on an optimized crystal structure of LiTbGa.

Cell and atoms, written as POSCAR:
```
LiTbGa
1.0
4.697 0.000 0.000
-2.348 4.068 0.000
0.000 0.000 3.335
Li Tb Ga
1 1 1
Direct
0.000 0.000 0.000
0.667 0.333 0.500
0.333 0.667 0.000
```

Results
- Final energy: -3.55 eV/atom
- Fermi-level density of states: 1.74 states/eV per cell
- ΔE_f: -0.356 eV per atom
- Calculated density: 6.14 g cm⁻³



VASP calculation (PBE-GGA) on an optimized crystal structure of Hf2ZrPb.

Cell and atoms, written as POSCAR:
```
Hf2ZrPb
1.0
6.587 0.000 0.000
0.000 4.221 0.000
-0.381 0.000 6.661
Hf Zr Pb
4 2 2
Direct
0.113 0.250 0.388
0.378 0.750 0.630
0.622 0.250 0.370
0.887 0.750 0.612
0.136 0.250 0.876
0.864 0.750 0.124
0.350 0.750 0.150
0.650 0.250 0.850
```

Results
- Final energy: -8.11 eV/atom
- Fermi-level density of states: 6.49 states/eV per cell
- ΔE_f: -0.067 eV per atom
- Calculated density: 11.75 g cm⁻³



VASP calculation (PBE-GGA) on an optimized crystal structure of Ac2NbP3Rh12.

Cell and atoms, written as POSCAR:
```
Ac2NbP3Rh12
1.0
4.187 2.417 5.598
-4.187 2.417 5.598
0.000 -4.835 5.598
Ac Nb P Rh
2 1 3 12
Direct
0.107 0.107 0.107
0.893 0.893 0.893
0.500 0.500 0.500
0.000 0.500 0.500
0.500 0.000 0.500
0.500 0.500 0.000
0.129 0.633 0.633
0.173 0.173 0.589
0.173 0.589 0.173
0.367 0.367 0.871
0.367 0.871 0.367
0.411 0.827 0.827
0.589 0.173 0.173
0.633 0.129 0.633
0.633 0.633 0.129
0.827 0.411 0.827
0.827 0.827 0.411
0.871 0.367 0.367
```

Results
- Final energy: -7.07 eV/atom
- Fermi-level density of states: 12.22 states/eV per cell
- ΔE_f: -0.248 eV per atom
- Calculated density: 9.16 g cm⁻³



> Among the records above, which one has the highest final energy?

LiTbGa



> final energy of number 3 (Ac2NbP3Rh12)?

-7.07 eV/atom



> Among the records above, which one has the highest ΔE_f?

Hf2ZrPb